A PBEsol-optimized structure of CdCuAu2, computed with SCAN.

Computed properties:
Spin magnetization (μB per cell): 0.0
ΔE_f (eV/atom): -0.08
Total DFT energy (no corrections) (eV/atom): -46.0632

```
data_CdCuAu2
_chemical_formula_sum 'Cd4 Cu4 Au8'
_space_group_name_H-M_alt 'F -4 3 m'
_space_group_IT_number 216
_space_group_name_Hall 'F -4 2 3'
_cell_length_a 6.3908
_cell_length_b 6.3908
_cell_length_c 6.3908
_cell_angle_alpha 90.00
_cell_angle_beta 90.00
_cell_angle_gamma 90.00
loop_
_atom_site_label
_atom_site_type_symbol
_atom_site_fract_x
_atom_site_fract_y
_atom_site_fract_z
Cd1 Cd 0.0000 0.0000 0.0000
Cu1 Cu 0.2500 0.2500 0.2500
Au1 Au 0.0000 0.0000 0.5000
Au2 Au 0.2500 0.2500 0.7500
```